# LiAlPCl2 | Alexandria via LeMat-Bulk | GGA-PBEsol | relaxed
# Raw total energy ... -3.70 eV per atom
# Uncorrected formation energy ... -0.52 eV per atom
# M_tot ... 1.07 μB per cell
data_LiAlPCl2
_symmetry_space_group_name_H-M 'P 4/m m m'
_symmetry_Int_Tables_number 123
_symmetry_space_group_name_Hall '-P 4 2'
_cell_length_a 4.821
_cell_length_b 4.821
_cell_length_c 4.687
_cell_angle_alpha 90.00
_cell_angle_beta 90.00
_cell_angle_gamma 90.00
loop_
_atom_site_label
_atom_site_fract_x
_atom_site_fract_y
_atom_site_fract_z
_atom_site_occupancy
Li1 0.000 0.000 0.000 1
Al1 0.500 0.500 0.500 1
P1 0.500 0.500 0.000 1
Cl1 0.000 0.500 0.500 1

---

# MgAl2Cl | Alexandria via LeMat-Bulk | GGA-PBEsol | relaxed
# Energy above the most stable polymorph in this dataset ... 0.178 eV per atom
# Raw total energy ... -2.92 eV per atom
# Uncorrected formation energy ... 0.06 eV per atom
# M_tot ... 0.00 μB per cell
data_MgAl2Cl
_symmetry_space_group_name_H-M 'I -4 m 2'
_symmetry_Int_Tables_number 119
_symmetry_space_group_name_Hall 'I -4 -2'
_cell_length_a 4.524
_cell_length_b 4.524
_cell_length_c 7.808
_cell_angle_alpha 90.00
_cell_angle_beta 90.00
_cell_angle_gamma 90.00
loop_
_atom_site_label
_atom_site_fract_x
_atom_site_fract_y
_atom_site_fract_z
_atom_site_occupancy
Mg1 0.000 0.000 0.000 1
Al1 0.000 0.000 0.500 1
Al2 0.000 0.500 0.250 1
Cl1 0.000 0.500 0.750 1

---

M_tot of number 2 (MgAl2Cl)?
0.00 μB per cell

---

Which formula does entry 2 have?
MgAl2Cl